No. 1
Here is a relaxed BaSmBi4Rh2 crystal from Alexandria. Energies are from PBE-GGA.

abc: 4.7679 4.7679 10.9097
angles: 90.00 90.00 90.00
Positions (direct):
Sm (0.0000, 0.0000, 0.5000)
Ba (0.0000, 0.0000, 0.0000)
Rh (0.5000, 0.5000, 0.6199)
Rh (0.5000, 0.5000, 0.3801)
Bi (0.0000, 0.5000, 0.7417)
Bi (0.5000, 0.0000, 0.7417)
Bi (0.0000, 0.5000, 0.2583)
Bi (0.5000, 0.0000, 0.2583)

Properties
DOS at the Fermi energy in states/eV per cell: 3.77
Calculated density in g/cm³: 8.90
Formation energy from the elements in eV per atom: -0.401
Magnetic moment in μB/f.u.: 0.0
Space group: No. 123

=====

No. 2
Here is a relaxed Ba2Sn3BiRh4 crystal from Alexandria. Energies are from PBE-GGA.

abc: 4.7605 4.7605 10.7321
angles: 90.00 90.00 90.00
Positions (direct):
Sn (0.5000, 0.0000, 0.8813)
Sn (0.0000, 0.5000, 0.1187)
Sn (0.0000, 0.0000, 0.5000)
Ba (0.0000, 0.5000, 0.7575)
Ba (0.5000, 0.0000, 0.2425)
Rh (0.0000, 0.5000, 0.3707)
Rh (0.5000, 0.0000, 0.6293)
Rh (0.5000, 0.5000, 0.0000)
Rh (0.0000, 0.0000, 0.0000)
Bi (0.5000, 0.5000, 0.5000)

Properties
DOS at the Fermi energy in states/eV per cell: 6.30
Calculated density in g/cm³: 8.54
Formation energy from the elements in eV per atom: -0.558
Magnetic moment in μB/f.u.: 0.0
Space group: No. 115

=====

No. 3
Here is a relaxed BaSnBi2Rh2 crystal from Alexandria. Energies are from PBE-GGA.

abc: 5.0116 5.0116 6.8483
angles: 90.00 90.00 90.00
Positions (direct):
Sn (0.0000, 0.0000, 0.0000)
Bi (0.5000, 0.5000, 0.2360)
Bi (0.5000, 0.5000, 0.7640)
Rh (0.5000, 0.0000, 0.0000)
Rh (0.0000, 0.5000, 0.0000)
Ba (0.0000, 0.0000, 0.5000)

Properties
DOS at the Fermi energy in states/eV per cell: 2.18
Calculated density in g/cm³: 8.49
Formation energy from the elements in eV per atom: -0.289
Magnetic moment in μB/f.u.: 0.0
Space group: No. 123

=====

No. 4
Here is a relaxed Ba2SnBiRh crystal from Alexandria. Energies are from PBE-GGA.

abc: 5.9462 5.9462 5.1429
angles: 90.00 90.00 90.00
Positions (direct):
Ba (0.0000, 0.5000, 0.0000)
Ba (0.5000, 0.0000, 0.0000)
Rh (0.0000, 0.0000, 0.0000)
Sn (0.0000, 0.0000, 0.5000)
Bi (0.5000, 0.5000, 0.5000)

Properties
DOS at the Fermi energy in states/eV per cell: 2.38
Calculated density in g/cm³: 6.44
Formation energy from the elements in eV per atom: -0.538
Magnetic moment in μB/f.u.: 0.0
Space group: No. 123

=====

No. 5
Here is a relaxed BaSr2BiRh crystal from Alexandria. Energies are from PBE-GGA.

abc: 6.4152 5.2008 6.4152
angles: 90.00 90.00 90.00
Positions (direct):
Sr (0.5000, 0.0000, 0.0000)
Sr (0.0000, 0.0000, 0.5000)
Bi (0.0000, 0.0000, 0.0000)
Ba (0.5000, 0.5000, 0.5000)
Rh (0.0000, 0.5000, 0.0000)

Properties
DOS at the Fermi energy in states/eV per cell: 4.12
Calculated density in g/cm³: 4.84
Energy above the most stable polymorph in this dataset in eV/atom: 0.509
Formation energy from the elements in eV per atom: 0.055
Magnetic moment in μB/f.u.: 0.0
Space group: No. 123

=====

No. 6
Here is a relaxed BaSr2BiRh crystal from Alexandria. Energies are from PBE-GGA.

abc: 5.7342 5.7342 5.8345
angles: 90.00 90.00 90.00
Positions (direct):
Bi (0.5000, 0.5000, 0.5000)
Sr (0.5000, 0.0000, 0.0000)
Sr (0.0000, 0.5000, 0.0000)
Ba (0.0000, 0.0000, 0.5000)
Rh (0.0000, 0.0000, 0.0000)

Properties
DOS at the Fermi energy in states/eV per cell: 1.36
Calculated density in g/cm³: 5.41
Energy above the most stable polymorph in this dataset in eV/atom: 0.000
Formation energy from the elements in eV per atom: -0.455
Magnetic moment in μB/f.u.: 0.0
Space group: No. 123